Computed, not measured: a relaxed structure of Al2VInF8 at the PBE+U level of DFT.

abc: 5.639 5.639 8.915
angles: 71.56 71.56 60.00
Last column: magnetic moment on the atom in μB.
Fractional positions:
Al  0.258  0.258  0.227  0.00
Al  0.742  0.742  0.773  0.00
V  0.000  0.000  0.000  2.78
In  0.500  0.500  0.500  0.19
F  0.190  0.190  0.430  0.01
F  0.603  0.172  0.148  0.01
F  0.810  0.810  0.570  0.01
F  0.077  0.603  0.148  0.01
F  0.923  0.397  0.852  0.01
F  0.172  0.077  0.148  0.01
F  0.828  0.923  0.852  0.01
F  0.397  0.828  0.852  0.01

Computed properties:
Fermi-level density of states = 2.23 states/eV/cell
final energy = -5.507 eV/atom